The following is a DFT calculation (PBE-GGA) of FeCo23Pt6 after structural relaxation.

Computed properties:
total magnetization	1.267	μB/atom
V	12.2	A^3/atom
E_form	1.388	eV/f.u.
space group	Fm-3m

abc: 8.037 8.037 8.037
angles: 60.00 60.00 60.00
Site moments in Bohr magnetons follow the coordinates.
Element x y z (fractional)
1 Co 0.330 0.330 0.011  1.74
2 Co 0.880 0.880 0.361  1.71
3 Co 0.670 0.670 0.670  1.74
4 Co 0.000 0.000 0.000  1.82
5 Co 0.000 0.000 0.500  1.81
6 Co 0.120 0.639 0.120  1.71
7 Co 0.000 0.500 0.000  1.81
8 Co 0.000 0.500 0.500  1.81
9 Co 0.120 0.120 0.120  1.71
10 Co 0.330 0.011 0.330  1.74
11 Co 0.639 0.120 0.120  1.71
12 Co 0.989 0.670 0.670  1.74
13 Co 0.880 0.361 0.880  1.71
14 Co 0.361 0.880 0.880  1.71
15 Pt 0.722 0.278 0.722  0.21
16 Co 0.120 0.120 0.639  1.71
17 Co 0.670 0.670 0.989  1.74
18 Pt 0.278 0.722 0.278  0.21
19 Pt 0.722 0.722 0.278  0.21
20 Co 0.500 0.500 0.000  1.81
21 Co 0.670 0.989 0.670  1.74
22 Co 0.500 0.000 0.500  1.81
23 Co 0.011 0.330 0.330  1.74
24 Fe 0.500 0.500 0.500  -3.05
25 Co 0.330 0.330 0.330  1.74
26 Pt 0.722 0.278 0.278  0.21
27 Co 0.880 0.880 0.880  1.71
28 Co 0.500 0.000 0.000  1.81
29 Pt 0.278 0.278 0.722  0.21
30 Pt 0.278 0.722 0.722  0.21